Entry 1:
A PBEsol-optimized structure of TlSn3Hg, computed with SCAN.

Cell lengths 5.508, 5.508, 5.508 Å; angles 90.00, 90.00, 90.00 degrees
Positions (direct):
Tl (0.500, 0.500, 0.500)
Hg (0.000, 0.000, 0.000)
Sn (0.000, 0.500, 0.000)
Sn (0.000, 0.000, 0.500)
Sn (0.500, 0.000, 0.000)

Values from the calculation:
E_form   542.7 meV per atom

---

Entry 2:
A PBEsol-optimized structure of CuF2, computed with SCAN.

Cell lengths 3.106, 4.623, 4.616 Å; angles 90.00, 90.15, 90.00 degrees
Last column: magnetic moment on the atom in μB.
Positions (direct):
Cu (0.500, 0.500, 0.500)  0.81
Cu (0.000, 0.000, 0.000)  0.81
F (0.500, 0.195, 0.198)  0.09
F (0.000, 0.695, 0.302)  0.09
F (0.000, 0.305, 0.698)  0.09
F (0.500, 0.805, 0.802)  0.09

Values from the calculation:
E_tot   -9.19 eV/atom

---

Entry 3:
A PBEsol-optimized structure of YSiOs2, computed with SCAN.

Cell lengths 2.971, 2.971, 8.531 Å; angles 79.97, 79.97, 60.00 degrees
Positions (direct):
Os (0.237, 0.237, 0.289)
Os (0.763, 0.763, 0.711)
Si (0.500, 0.500, 0.500)
Y (0.000, 0.000, 0.000)

Values from the calculation:
E_tot   -45.24 eV/atom